[1]
Below is a relaxed structure of TaCCl2, with properties calculated at the PBE level.

a = 9.3326 Å, b = 9.3326 Å, c = 6.8977 Å
α = 47.43°, β = 47.43°, γ = 90.00°
Fractional coordinates of all 8 atoms:
1 C 0.5000 0.5000 0.0000
2 Cl 0.8750 0.0312 0.7500
3 Ta 0.0000 0.0000 0.0000
4 C 0.2500 0.7500 0.5000
5 Cl 0.3750 0.2188 0.7500
6 Ta 0.7500 0.2500 0.5000
7 Cl 0.7812 0.1250 0.2500
8 Cl 0.9688 0.6250 0.2500

Values from the calculation:
**Excess energy over the best structure of this formula in the dataset**: 0 meV/atom
**Total energy**: -5.934 eV/atom
**Crystal system**: tetragonal

---

[2]
Below is a relaxed structure of YCrP2, with properties calculated at the PBE level.

a = 5.6585 Å, b = 5.6585 Å, c = 5.6585 Å
α = 140.53°, β = 140.53°, γ = 57.05°
Each line ends with the local moment (μB).
Fractional coordinates of all 4 atoms:
1 P 0.0000 0.0000 0.0000  -0.08
2 Y 0.5000 0.5000 0.0000  0.07
3 P 0.2500 0.7500 0.5000  -0.12
4 Cr 0.7500 0.2500 0.5000  3.50

Values from the calculation:
**Formation energy**: -0.400 eV/atom
**Excess energy over the best structure of this formula in the dataset**: 507 meV/atom
**Total energy**: -7.126 eV/atom
**Crystal system**: tetragonal

---

[3]
Below is a relaxed structure of Sm3Dy2Ho7, with properties calculated at the PBE level.

a = 3.5540 Å, b = 5.7989 Å, c = 18.6931 Å
α = 93.13°, β = 90.00°, γ = 90.00°
Fractional coordinates of all 12 atoms:
1 Ho 0.0000 0.3119 0.8566
2 Ho 0.5000 0.7427 0.4625
3 Dy 0.5000 0.2911 0.7071
4 Sm 0.0000 0.2209 0.3671
5 Ho 0.0000 0.6881 0.1434
6 Ho 0.0000 0.0000 0.0000
7 Dy 0.5000 0.7089 0.2929
8 Sm 0.5000 0.5000 0.0000
9 Sm 0.0000 0.7791 0.6329
10 Ho 0.5000 0.1904 0.1760
11 Ho 0.5000 0.8096 0.8240
12 Ho 0.5000 0.2573 0.5375

Values from the calculation:
**Formation energy**: 0.088 eV/atom
**Excess energy over the best structure of this formula in the dataset**: 4 meV/atom
**Total energy**: -4.529 eV/atom
**Crystal system**: monoclinic

---

[4]
Below is a relaxed structure of CdBi2H8, with properties calculated at the PBE level.

a = 3.3218 Å, b = 7.1471 Å, c = 7.8318 Å
α = 77.38°, β = 77.72°, γ = 88.57°
Fractional coordinates of all 11 atoms:
1 Bi 0.2202 0.7605 0.5532
2 Bi 0.7798 0.2395 0.4468
3 H 0.5403 0.5368 0.0204
4 H 0.1750 0.5073 0.6714
5 H 0.9031 0.1688 0.2272
6 H 0.3623 0.1685 0.8663
7 H 0.8250 0.4927 0.3286
8 H 0.6377 0.8315 0.1337
9 Cd 0.0000 0.0000 0.0000
10 H 0.4597 0.4632 0.9796
11 H 0.0969 0.8312 0.7728

Values from the calculation:
**Total energy**: -2.930 eV/atom
**Crystal system**: triclinic

---

[5]
Below is a relaxed structure of Cs3Nd3NpO8, with properties calculated at the PBE level.

a = 7.2987 Å, b = 7.2987 Å, c = 8.1975 Å
α = 116.45°, β = 90.00°, γ = 120.00°
Each line ends with the local moment (μB).
Fractional coordinates of all 15 atoms:
1 Nd 0.5000 0.5000 0.5000  0.01
2 O 0.2786 0.5572 0.3360  0.00
3 Cs 0.5000 0.5000 0.0000  0.00
4 Nd 0.5000 0.0000 0.5000  0.01
5 Cs 0.0000 0.0000 0.0000  0.00
6 O 0.7910 0.0509 0.3420  -0.03
7 Cs 0.0000 0.5000 0.0000  0.00
8 Np 0.0000 0.0000 0.5000  3.02
9 O 0.2090 0.4180 0.6580  -0.03
10 Nd 0.0000 0.5000 0.5000  0.01
11 O 0.7910 0.5820 0.3420  -0.03
12 O 0.2090 0.9491 0.6580  -0.03
13 O 0.7401 0.9491 0.6580  -0.03
14 O 0.2599 0.0509 0.3420  -0.03
15 O 0.7214 0.4428 0.6640  0.00

Values from the calculation:
**Total energy**: -7.260 eV/atom
**Crystal system**: trigonal

---

[6]
Below is a relaxed structure of Na2Sm2F7, with properties calculated at the PBE level.

a = 5.6966 Å, b = 5.7549 Å, c = 5.6966 Å
α = 90.04°, β = 94.29°, γ = 89.96°
Fractional coordinates of all 11 atoms:
1 F 0.9998 0.2287 0.5001
2 F 0.5001 0.7696 0.4999
3 F 0.4999 0.2287 0.0002
4 F 0.0002 0.7713 0.4999
5 Na 0.7408 0.5000 0.7408
6 Sm 0.2690 0.0001 0.7310
7 F 0.5001 0.7713 0.9998
8 F 0.0000 0.0000 0.0000
9 F 0.4999 0.2304 0.5001
10 Sm 0.7310 0.9999 0.2690
11 Na 0.2592 0.5000 0.2592

Values from the calculation:
**Total energy**: -5.704 eV/atom
**Crystal system**: orthorhombic

---

Which formula does entry 6 have? Na2Sm2F7